Record 1
A plane-wave DFT calculation with PBE was carried out for an optimized crystal structure of AsHRhBr2.

Output
Total DFT energy (no corrections) ... -15.911 eV for the cell shown
Space group ... P4/mmm
M_tot ... 0.7 Bohr magnetons per cell
D(E_F) ... 3.49 states/eV/cell

Structure (POSCAR):
```
AsHRhBr2
1.0
-4.3445 0.1841 3.0164
1.2448 -4.7044 2.0800
2.3916 2.0991 3.3164
H As Rh Br
1 1 1 2
direct
0.5000 0.5000 0.5000
0.0000 0.0000 0.5000
0.0000 0.0000 0.0000
0.0000 0.5000 0.0000
0.5000 0.0000 0.0000
```

Record 2
A plane-wave DFT calculation with PBE was carried out for an optimized crystal structure of BeTlSe.

Output
Uncorrected formation energy ... -0.323 eV/atom
Space group ... Cm
M_tot ... 0.0 Bohr magnetons per cell
D(E_F) ... 0.69 states/eV/cell

Structure (POSCAR):
```
BeTlSe
1.0
-0.3027 5.9894 2.9328
-2.8876 -1.0713 1.8899
3.6723 -3.6972 3.5151
Be Tl Se
2 2 2
direct
0.6329 0.0000 0.9024
0.6329 0.5000 0.4024
0.2450 0.0000 0.4496
0.2450 0.5000 0.9496
0.7256 0.0000 0.2655
0.7256 0.5000 0.7655
```

Record 3
A plane-wave DFT calculation with PBE was carried out for an optimized crystal structure of AlSbIr2C.

Output
Uncorrected formation energy ... 2.699 eV/atom
Space group ... P4/mmm
M_tot ... 1.9 Bohr magnetons per cell
D(E_F) ... 3.12 states/eV/cell

Structure (POSCAR):
```
AlSbIr2C
1.0
4.8804 0.0000 0.0000
0.0000 5.2040 0.0000
0.0000 0.0000 4.8804
Sb C Ir Al
1 1 2 1
direct
0.0000 0.0000 0.0000
0.5000 0.5000 0.5000
0.0000 0.0000 0.5000
0.5000 0.0000 0.0000
0.0000 0.5000 0.0000
```

Record 4
A plane-wave DFT calculation with PBE was carried out for an optimized crystal structure of MnFeGe2.

Output
Space group ... R3m
M_tot ... 3.2 Bohr magnetons per cell
D(E_F) ... 3.61 states/eV/cell
Energy relative to the elements ... 64 meV/atom

Structure (POSCAR):
```
MnFeGe2
1.0
-1.3623 -2.4592 0.6038
1.2113 -1.9183 1.7667
-3.3912 1.8312 6.6536
Mn Fe Ge
1 1 2
direct
0.5012 0.5012 0.4965
0.6655 0.6655 0.0034
0.0800 0.0800 0.7600
0.2533 0.2533 0.2401
```